No. 1
Below is a relaxed WAu2Cl crystal, with properties calculated at the PBE-GGA level.

```
WAu2Cl
1.0
-1.407 2.206 6.293
1.407 -2.206 6.293
1.407 2.206 -6.293
W Au Cl
1 2 1
Direct
0.000 0.000 0.000 W
0.195 0.695 0.500 Au
0.805 0.305 0.500 Au
0.500 0.500 0.000 Cl
```

Output
distance to the lowest polymorph of the same formula = 403 meV/atom
magnetic moment = 1.08 Bohr magnetons per cell
space group = Immm, No. 71
DFT total energy = -19.17 eV per cell
raw formation energy = 0.547 eV per atom

=====

No. 2
Below is a relaxed WAuCl3 crystal, with properties calculated at the PBE-GGA level.

```
WAuCl3
1.0
4.802 0.000 0.000
0.000 4.802 0.000
0.000 0.000 4.802
W Au Cl
1 1 3
Direct
0.000 0.000 0.000 W
0.500 0.500 0.500 Au
0.000 0.000 0.500 Cl
0.000 0.500 0.000 Cl
0.500 0.000 0.000 Cl
```

Output
distance to the lowest polymorph of the same formula = 0 meV/atom
magnetic moment = 1.37 Bohr magnetons per cell
space group = Pm-3m, No. 221
DFT total energy = -20.16 eV per cell
raw formation energy = 0.323 eV per atom

=====

No. 3
Below is a relaxed W2AuCl crystal, with properties calculated at the PBE-GGA level.

```
W2AuCl
1.0
5.433 -1.386 0.000
5.433 1.386 0.000
-2.437 0.000 4.725
W Au Cl
2 1 1
Direct
0.000 0.000 0.000 W
0.717 0.717 0.391 W
0.251 0.251 0.924 Au
0.442 0.442 0.573 Cl
```

Output
distance to the lowest polymorph of the same formula = 403 meV/atom
magnetic moment = 0.00 Bohr magnetons per cell
space group = Cm, No. 8
DFT total energy = -28.15 eV per cell
raw formation energy = 0.721 eV per atom

=====

Please write out number 2 again, unchanged.
Below is a relaxed WAuCl3 crystal, with properties calculated at the PBE-GGA level.

```
WAuCl3
1.0
4.802 0.000 0.000
0.000 4.802 0.000
0.000 0.000 4.802
W Au Cl
1 1 3
Direct
0.000 0.000 0.000 W
0.500 0.500 0.500 Au
0.000 0.000 0.500 Cl
0.000 0.500 0.000 Cl
0.500 0.000 0.000 Cl
```

Output
distance to the lowest polymorph of the same formula = 0 meV/atom
magnetic moment = 1.37 Bohr magnetons per cell
space group = Pm-3m, No. 221
DFT total energy = -20.16 eV per cell
raw formation energy = 0.323 eV per atom

=====

Question: magnetic moment of number 2 (WAuCl3)?
Answer: 1.37 Bohr magnetons per cell

=====

Question: The highest raw formation energy belongs to which entry?
Answer: W2AuCl